Entry from OQMD via LeMat-Bulk: YCo4Sn2Ge4 after structural relaxation (PBE-GGA).

* magnetization: 0.02 μB/f.u.
* calculated total energy: -5.923 eV per atom

POSCAR file:
```
YCo4Sn2Ge4
1.0
-3.300 3.300 4.206
3.300 -3.300 4.206
3.300 3.300 -4.206
Y Co Sn Ge
1 4 2 4
Direct
0.000 0.000 0.000
0.241 0.241 0.667
0.426 0.759 0.000
0.574 0.574 0.333
0.759 0.426 0.000
0.000 0.500 0.500
0.500 0.000 0.500
0.127 0.478 0.000
0.478 0.127 0.000
0.522 0.522 0.648
0.873 0.873 0.352
```



Entry from OQMD via LeMat-Bulk: ZrHg3Se2Cl6 after structural relaxation (PBE-GGA).

* magnetization: 0.00 μB/f.u.
* calculated total energy: -3.310 eV per atom

POSCAR file:
```
ZrHg3Se2Cl6
1.0
6.684 0.000 0.000
0.000 7.669 0.000
-0.411 0.000 13.397
Zr Hg Se Cl
2 6 4 12
Direct
0.000 0.000 0.000
0.000 0.500 0.500
0.493 0.205 0.239
0.493 0.295 0.739
0.500 0.000 0.500
0.500 0.500 0.000
0.507 0.705 0.261
0.507 0.795 0.761
0.315 0.537 0.831
0.315 0.963 0.331
0.685 0.037 0.669
0.685 0.463 0.169
0.137 0.219 0.566
0.137 0.281 0.066
0.149 0.051 0.835
0.149 0.449 0.335
0.313 0.650 0.558
0.313 0.850 0.058
0.687 0.150 0.942
0.687 0.350 0.442
0.851 0.551 0.665
0.851 0.949 0.165
0.863 0.719 0.934
0.863 0.781 0.434
```



Entry from OQMD via LeMat-Bulk: Lu3In3Cu2Ag after structural relaxation (PBE-GGA).

* magnetization: 0.00 μB/f.u.
* calculated total energy: -3.937 eV per atom

POSCAR file:
```
Lu3In3Cu2Ag
1.0
7.527 0.000 0.000
-3.763 6.518 0.000
0.000 0.000 3.863
Lu In Cu Ag
3 3 2 1
Direct
0.000 0.591 0.000
0.409 0.409 0.000
0.591 0.000 0.000
0.000 0.272 0.500
0.272 0.000 0.500
0.728 0.728 0.500
0.333 0.667 0.500
0.667 0.333 0.500
0.000 0.000 0.000
```



Entry from OQMD via LeMat-Bulk: Cs2NdYS4 after structural relaxation (PBE-GGA).

* magnetization: 0.00 μB/f.u.
* calculated total energy: -5.502 eV per atom

POSCAR file:
```
Cs2NdYS4
1.0
4.170 0.000 0.000
-2.085 3.611 0.000
0.000 0.000 16.115
Cs Nd Y S
2 1 1 4
Direct
0.333 0.667 0.247
0.667 0.333 0.753
0.000 0.000 0.500
0.000 0.000 0.000
0.333 0.667 0.596
0.333 0.667 0.910
0.667 0.333 0.090
0.667 0.333 0.404
```



Entry from OQMD via LeMat-Bulk: Zn2Tc after structural relaxation (PBE-GGA).

* magnetization: 0.00 μB/f.u.
* energy above the most stable polymorph in this dataset: 117 meV/atom
* calculated total energy: -4.158 eV per atom

POSCAR file:
```
Zn2Tc
1.0
1.330 -7.113 0.000
1.330 7.113 0.000
0.000 0.000 4.493
Zn Tc
4 2
Direct
0.061 0.939 0.750
0.275 0.725 0.250
0.725 0.275 0.750
0.939 0.061 0.250
0.392 0.608 0.750
0.608 0.392 0.250
```



Entry from OQMD via LeMat-Bulk: GdScNi after structural relaxation (PBE-GGA).

* magnetization: 0.00 μB/f.u.
* energy above the most stable polymorph in this dataset: 0 meV/atom
* calculated total energy: -5.660 eV per atom

POSCAR file:
```
GdScNi
1.0
0.000 3.254 3.254
3.254 0.000 3.254
3.254 3.254 0.000
Gd Sc Ni
1 1 1
Direct
0.000 0.000 0.000
0.500 0.500 0.500
0.250 0.250 0.250
```



Entry from OQMD via LeMat-Bulk: FeRe2Pd after structural relaxation (PBE-GGA).

* magnetization: 0.83 μB/f.u.
* energy above the most stable polymorph in this dataset: 55 meV/atom
* calculated total energy: -9.476 eV per atom

POSCAR file:
```
FeRe2Pd
1.0
4.304 0.000 0.000
0.000 2.698 4.715
0.000 -2.698 4.715
Fe Re Pd
2 4 2
Direct
0.000 0.000 0.000
0.500 0.333 0.333
0.000 0.497 0.497
0.500 0.334 0.836
0.500 0.836 0.334
0.500 0.849 0.849
0.000 0.008 0.502
0.000 0.502 0.008
```



Entry from OQMD via LeMat-Bulk: LaGdIn4Ir2 after structural relaxation (PBE-GGA).

* magnetization: 0.01 μB/f.u.
* calculated total energy: -5.339 eV per atom

POSCAR file:
```
LaGdIn4Ir2
1.0
8.139 0.000 0.000
0.000 2.203 5.123
0.000 -2.203 5.123
La Gd In Ir
1 1 4 2
Direct
0.000 0.000 0.000
0.500 0.860 0.860
0.203 0.287 0.287
0.305 0.576 0.576
0.695 0.576 0.576
0.797 0.287 0.287
0.000 0.715 0.715
0.500 0.151 0.151
```



Entry from OQMD via LeMat-Bulk: PrH3 after structural relaxation (PBE-GGA).

* magnetization: 0.00 μB/f.u.
* calculated total energy: -4.188 eV per atom

POSCAR file:
```
PrH3
1.0
5.872 0.000 0.000
-2.936 5.085 0.000
0.000 0.000 3.780
Pr H
2 6
Direct
0.333 0.667 0.250
0.667 0.333 0.750
0.095 0.425 0.750
0.330 0.905 0.750
0.425 0.330 0.250
0.575 0.670 0.750
0.670 0.095 0.250
0.905 0.575 0.250
```



Entry from OQMD via LeMat-Bulk: NbInCuSeS2 after structural relaxation (PBE-GGA).

* magnetization: 0.01 μB/f.u.
* calculated total energy: -5.252 eV per atom

POSCAR file:
```
NbInCuSeS2
1.0
1.757 -7.289 0.000
1.757 7.289 0.000
0.000 0.000 9.721
Nb In Cu Se S
2 2 2 2 4
Direct
0.000 0.000 0.000
0.000 0.000 0.500
0.243 0.757 0.750
0.757 0.243 0.250
0.459 0.541 0.250
0.541 0.459 0.750
0.077 0.923 0.250
0.923 0.077 0.750
0.379 0.621 0.051
0.379 0.621 0.449
0.621 0.379 0.551
0.621 0.379 0.949
```



Entry from OQMD via LeMat-Bulk: ErPtNO after structural relaxation (PBE-GGA).

* magnetization: 0.00 μB/f.u.
* energy above the most stable polymorph in this dataset: 496 meV/atom
* calculated total energy: -6.999 eV per atom

POSCAR file:
```
ErPtNO
1.0
3.565 0.000 0.000
0.000 6.071 0.000
0.000 0.000 5.824
Er Pt N O
2 2 2 2
Direct
0.000 0.198 0.000
0.000 0.802 0.500
0.500 0.217 0.518
0.500 0.783 0.018
0.000 0.173 0.383
0.000 0.827 0.883
0.500 0.343 0.862
0.500 0.657 0.362
```



Entry from OQMD via LeMat-Bulk: Sc3CdB4 after structural relaxation (PBE-GGA).

* magnetization: 0.01 μB/f.u.
* calculated total energy: -6.455 eV per atom

POSCAR file:
```
Sc3CdB4
1.0
3.157 0.000 0.000
0.000 3.512 0.000
0.000 0.000 9.315
Sc Cd B
3 1 4
Direct
0.000 0.000 0.000
0.500 0.000 0.291
0.500 0.000 0.709
0.000 0.500 0.500
0.000 0.500 0.187
0.000 0.500 0.813
0.500 0.500 0.098
0.500 0.500 0.902
```